Crystalline Li3U3IrSe8 at its relaxed geometry. Source: Alexandria, functional PBE.

It has space group R-3m (No. 166, hexagonal axes), with a = 7.7045 Å, b = 7.7045 Å, c = 20.3492 Å, α = 90.00°, β = 90.00° and γ = 120.00°. Symmetry generates all atoms from Li at (0.0000, 0.5000, 0.0000), U at (0.0000, 0.5000, 0.5000), Ir at (0.0000, 0.0000, 0.5000), Se at (0.0000, 0.0000, 0.2553) and Se at (0.0291, 0.5146, 0.2478).

The value obtained for the raw total energy is -6.102 eV/atom. The energy relative to the elements, uncorrected is -1465 kJ/mol of formula units.